First-principles (PBE) data for an optimized crystal structure of Sc2Mn2TcC4, as listed in Alexandria via LeMat-Bulk.

Cell lengths 12.5684, 3.1191, 5.1956 Å; angles 90.00, 105.33, 90.00 degrees
Space group C2/m (No. 12)
Symmetry-distinct sites (fractional):
Sc (0.1282, 0.0000, 0.0370) (multiplicity 4)
Mn (0.1758, 0.5000, 0.5203) (multiplicity 4)
Tc (0.0000, 0.0000, 0.5000) (multiplicity 2)
C (0.0365, 0.5000, 0.2549) (multiplicity 4)
C (0.2286, 0.0000, 0.7158) (multiplicity 4)

Values from the calculation:
Calculated formation energy, meV per atom: -117
Uncorrected energy, eV per atom: -8.81


First-principles (PBE) data for an optimized crystal structure of ScMnTc2C, as listed in Alexandria via LeMat-Bulk.

Cell lengths 4.1889, 4.1889, 3.8702 Å; angles 90.00, 90.00, 90.00 degrees
Space group P4/mmm (No. 123)
Symmetry-distinct sites (fractional):
Sc (0.0000, 0.0000, 0.0000) (multiplicity 1)
Mn (0.5000, 0.5000, 0.0000) (multiplicity 1)
Tc (0.0000, 0.5000, 0.5000) (multiplicity 2)
C (0.5000, 0.5000, 0.5000) (multiplicity 1)

Values from the calculation:
Calculated formation energy, meV per atom: -149
Uncorrected energy, eV per atom: -9.24


First-principles (PBE) data for an optimized crystal structure of Sc2TiMnC, as listed in Alexandria via LeMat-Bulk.

Cell lengths 4.7213, 4.7213, 4.2484 Å; angles 90.00, 90.00, 90.00 degrees
Space group P4/mmm (No. 123)
Symmetry-distinct sites (fractional):
Sc (0.0000, 0.5000, 0.0000) (multiplicity 2)
Ti (0.0000, 0.0000, 0.5000) (multiplicity 1)
Mn (0.0000, 0.0000, 0.0000) (multiplicity 1)
C (0.5000, 0.5000, 0.5000) (multiplicity 1)

Values from the calculation:
Calculated formation energy, meV per atom: 1244
Uncorrected energy, eV per atom: -6.55


First-principles (PBE) data for an optimized crystal structure of Sc2MnTlC, as listed in Alexandria via LeMat-Bulk.

Cell lengths 4.6388, 4.6388, 3.7952 Å; angles 90.00, 90.00, 90.00 degrees
Space group P4/mmm (No. 123)
Symmetry-distinct sites (fractional):
Sc (0.0000, 0.5000, 0.0000) (multiplicity 2)
Mn (0.0000, 0.0000, 0.5000) (multiplicity 1)
Tl (0.5000, 0.5000, 0.5000) (multiplicity 1)
C (0.0000, 0.0000, 0.0000) (multiplicity 1)

Values from the calculation:
Calculated formation energy, meV per atom: -347
Uncorrected energy, eV per atom: -7.03